DFT (GGA-PBEsol) results for a geometry-optimized InI2F structure.

Cell lengths 6.601, 6.601, 6.601 Å; angles 111.62, 111.62, 105.25 degrees
Sites, in units of the cell vectors:
In (0.000, 0.000, 0.000)
In (0.750, 0.250, 0.500)
I (0.124, 0.125, 0.499)
I (0.375, 0.876, 0.001)
I (0.626, 0.625, 0.501)
I (0.875, 0.374, 0.999)
F (0.250, 0.750, 0.500)
F (0.500, 0.500, 0.000)

DFT (GGA-PBEsol) results for a geometry-optimized InIF2 structure.

* DOS(E_F): 0.209 states/eV/atom

Cell lengths 7.551, 7.551, 7.551 Å; angles 141.17, 141.17, 56.08 degrees
Sites, in units of the cell vectors:
In (0.375, 0.625, 0.750)
In (0.625, 0.375, 0.250)
I (0.125, 0.875, 0.250)
I (0.875, 0.125, 0.750)
F (0.000, 0.500, 0.500)
F (0.500, 0.000, 0.000)
F (0.500, 0.500, 0.000)
F (0.500, 0.500, 0.500)

Number 1: formation energy without anion corrections -572 meV/atom, VASP energy -10.73 eV per formula unit, total moment 0.0 μB/cell. Number 2: formation energy without anion corrections -1387 meV/atom, VASP energy -14.15 eV per formula unit, total moment 0.0 μB/cell.